Entry from Alexandria: an optimized crystal structure of CoTeF2 (PBE with a Hubbard U).

Unit cell a=6.189 b=6.189 c=6.100 alpha=59.52 beta=59.52 gamma=90.00
Each line ends with the local moment (μB).
Positions (direct):
Te 0.000 0.000 0.000  0.01
Te 0.750 0.250 0.500  0.01
Co 0.500 0.500 0.000  2.77
Co 0.250 0.750 0.500  2.77
F 0.440 0.125 0.250  0.07
F 0.310 0.625 0.250  0.07
F 0.375 0.560 0.750  0.07
F 0.875 0.690 0.750  0.07

Fermi-level density of states in states/eV/atom: 0.205
ΔE to the lowest computed polymorph in eV/f.u.: 1.25
SG: I-42d
Crystal system: tetragonal
Raw total energy in eV for the cell shown: -33.0